# 1
{
  "formula": "LiErCdO3",
  "functional": "PBE-GGA",
  "state": "optimized geometry",
  "lattice_angstrom": [[1.6299, -7.0637, 0.0000], [1.6299, 7.0637, 0.0000], [0.0000, 0.0000, 6.2139]],
  "species": ["Li", "Li", "Er", "Er", "Cd", "Cd", "O", "O", "O", "O", "O", "O"],
  "fractional_positions": [[0.1454, 0.8546, 0.7500], [0.8546, 0.1454, 0.2500], [0.5000, 0.5000, 0.0000], [0.5000, 0.5000, 0.5000], [0.2015, 0.7985, 0.2500], [0.7985, 0.2015, 0.7500], [0.0034, 0.9966, 0.7500], [0.3442, 0.6558, 0.0145], [0.3442, 0.6558, 0.4855], [0.6558, 0.3442, 0.5145], [0.6558, 0.3442, 0.9855], [0.9966, 0.0034, 0.2500]],
  "e_tot_ev_per_atom": -5.857,
  "magmom_total_mub_per_cell": 0.00,
  "sg": "No. 63"
}



# 2
{
  "formula": "LiErCdS3",
  "functional": "PBE-GGA",
  "state": "optimized geometry",
  "lattice_angstrom": [[12.9754, 0.0000, 0.0000], [0.0000, 3.9703, 0.0000], [0.0000, 0.0000, 10.9461]],
  "species": ["Li", "Li", "Li", "Li", "Er", "Er", "Er", "Er", "Cd", "Cd", "Cd", "Cd", "S", "S", "S", "S", "S", "S", "S", "S", "S", "S", "S", "S"],
  "fractional_positions": [[0.2201, 0.2500, 0.0583], [0.2799, 0.7500, 0.5583], [0.7201, 0.2500, 0.4417], [0.7799, 0.7500, 0.9417], [0.0269, 0.7500, 0.8457], [0.4731, 0.2500, 0.3457], [0.5269, 0.7500, 0.6543], [0.9731, 0.2500, 0.1543], [0.0257, 0.2500, 0.5995], [0.4743, 0.7500, 0.0995], [0.5257, 0.2500, 0.9005], [0.9743, 0.7500, 0.4005], [0.0983, 0.2500, 0.3735], [0.1066, 0.7500, 0.0723], [0.1524, 0.2500, 0.7705], [0.3476, 0.7500, 0.2705], [0.3934, 0.2500, 0.5723], [0.4017, 0.7500, 0.8735], [0.5983, 0.2500, 0.1265], [0.6066, 0.7500, 0.4277], [0.6524, 0.2500, 0.7295], [0.8476, 0.7500, 0.2295], [0.8934, 0.2500, 0.9277], [0.9017, 0.7500, 0.6265]],
  "e_tot_ev_per_atom": -4.557,
  "magmom_total_mub_per_cell": 0.00,
  "sg": "No. 62",
  "de_polymorph_mev_per_atom": 0
}



# 3
{
  "formula": "LiErCdS3",
  "functional": "PBE-GGA",
  "state": "optimized geometry",
  "lattice_angstrom": [[1.9618, -6.2666, 0.0000], [1.9618, 6.2666, 0.0000], [0.0000, 0.0000, 10.7617]],
  "species": ["Li", "Li", "Er", "Er", "Cd", "Cd", "S", "S", "S", "S", "S", "S"],
  "fractional_positions": [[0.2438, 0.7562, 0.7500], [0.7562, 0.2438, 0.2500], [0.5000, 0.5000, 0.0000], [0.5000, 0.5000, 0.5000], [0.0294, 0.9706, 0.2500], [0.9706, 0.0294, 0.7500], [0.1399, 0.8601, 0.0611], [0.1399, 0.8601, 0.4389], [0.3992, 0.6008, 0.2500], [0.6008, 0.3992, 0.7500], [0.8601, 0.1399, 0.5611], [0.8601, 0.1399, 0.9389]],
  "e_tot_ev_per_atom": -4.524,
  "magmom_total_mub_per_cell": 0.01,
  "sg": "No. 63",
  "de_polymorph_mev_per_atom": 33
}



# 4
{
  "formula": "LiErCdSe3",
  "functional": "PBE-GGA",
  "state": "optimized geometry",
  "lattice_angstrom": [[13.6490, 0.0000, 0.0000], [0.0000, 4.0722, 0.0000], [0.0000, 0.0000, 11.4374]],
  "species": ["Li", "Li", "Li", "Li", "Er", "Er", "Er", "Er", "Cd", "Cd", "Cd", "Cd", "Se", "Se", "Se", "Se", "Se", "Se", "Se", "Se", "Se", "Se", "Se", "Se"],
  "fractional_positions": [[0.2163, 0.2500, 0.1906], [0.2837, 0.7500, 0.6906], [0.7163, 0.2500, 0.3094], [0.7837, 0.7500, 0.8094], [0.0342, 0.7500, 0.8528], [0.4658, 0.2500, 0.3528], [0.5342, 0.7500, 0.6472], [0.9658, 0.2500, 0.1472], [0.0376, 0.2500, 0.6014], [0.4624, 0.7500, 0.1014], [0.5376, 0.2500, 0.8986], [0.9624, 0.7500, 0.3986], [0.0879, 0.2500, 0.3697], [0.1021, 0.7500, 0.0829], [0.1666, 0.2500, 0.7714], [0.3334, 0.7500, 0.2714], [0.3979, 0.2500, 0.5829], [0.4121, 0.7500, 0.8697], [0.5879, 0.2500, 0.1303], [0.6021, 0.7500, 0.4171], [0.6666, 0.2500, 0.7286], [0.8334, 0.7500, 0.2286], [0.8979, 0.2500, 0.9171], [0.9121, 0.7500, 0.6303]],
  "e_tot_ev_per_atom": -4.219,
  "magmom_total_mub_per_cell": 0.00,
  "sg": "No. 62",
  "de_polymorph_mev_per_atom": 0
}